1.
DFT (PBE) results for Er2PaO6 after structural relaxation.

The structure belongs to space group P4_2/mnm (No. 136); the cell edges are 5.1025, 5.1025 and 10.4895 Å and the angles 90.00°, 90.00° and 90.00°. The inequivalent atoms are Er at (0.0000, 0.0000, 0.1664), Pa at (0.0000, 0.0000, 0.5000), O at (0.1889, 0.1889, 0.3389) and O at (0.1991, 0.1991, 0.0000).

Its energy above the lowest structure with this stoichiometry is 84.6 meV/atom. As for the raw formation energy: -29.96 eV per formula unit.

---

2.
DFT (PBE) results for CaNbAsSe2 after structural relaxation.

The structure belongs to space group P4/mmm (No. 123); the cell edges are 5.1726, 5.1726 and 5.1880 Å and the angles 90.00°, 90.00° and 90.00°. The inequivalent atoms are Ca at (0.0000, 0.0000, 0.0000), Nb at (0.5000, 0.5000, 0.5000), As at (0.0000, 0.0000, 0.5000) and Se at (0.0000, 0.5000, 0.0000).

Its energy above the lowest structure with this stoichiometry is 1498.5 meV/atom. As for the raw formation energy: 4.29 eV per formula unit.

---

3.
DFT (PBE) results for KIn2CuBi after structural relaxation.

The structure belongs to space group P4/mmm (No. 123); the cell edges are 5.2047, 5.2047 and 5.6148 Å and the angles 90.00°, 90.00° and 90.00°. The inequivalent atoms are K at (0.0000, 0.0000, 0.0000), In at (0.0000, 0.5000, 0.5000), Cu at (0.5000, 0.5000, 0.5000) and Bi at (0.5000, 0.5000, 0.0000).

The value obtained for the raw total energy is -2.881 eV/atom.

---

How do the records compare in mass density? In the order shown, they have 8.04; 4.38; 5.91 g/cm3.